ErPAuO after structural relaxation. Source: OQMD via LeMat-Bulk, functional PBE.

```
ErPAuO
1.0
5.4442 0.0000 0.0000
0.0000 5.4442 0.0000
0.0000 0.0000 4.6461
Er P Au O
2 2 2 2
Direct
0.2500 0.7500 0.0000
0.7500 0.2500 0.0000
0.2500 0.2500 0.0010
0.7500 0.7500 0.9990
0.2500 0.2500 0.5009
0.7500 0.7500 0.4991
0.2500 0.7500 0.5000
0.7500 0.2500 0.5000
```

## Properties
Space group: P4/nmm (129)
Total energy: -5.562 eV per atom
E above lowest polymorph: 560 meV per atom
Magnetization: 0.003 μB per formula unit
ρ: 9.92 g/cm3

ErAuSO after structural relaxation. Source: OQMD via LeMat-Bulk, functional PBE.

```
ErAuSO
1.0
3.8671 0.0000 0.0000
0.0000 3.8671 0.0000
0.0000 0.0000 9.1009
Er Au S O
2 2 2 2
Direct
0.2500 0.2500 0.1214
0.7500 0.7500 0.8786
0.2500 0.7500 0.5000
0.7500 0.2500 0.5000
0.2500 0.2500 0.7179
0.7500 0.7500 0.2821
0.2500 0.7500 0.0000
0.7500 0.2500 0.0000
```

## Properties
Space group: P4/nmm (129)
Total energy: -6.031 eV per atom
E above lowest polymorph: 180 meV per atom
Magnetization: 0.001 μB per formula unit
ρ: 10.06 g/cm3

ErAuSO after structural relaxation. Source: OQMD via LeMat-Bulk, functional PBE.

```
ErAuSO
1.0
5.4707 0.0000 0.0000
0.0000 5.4711 0.0000
0.0000 0.0000 9.0761
Er Au S O
4 4 4 4
Direct
0.2500 0.0000 0.1223
0.2500 0.5000 0.8782
0.7500 0.0000 0.8777
0.7500 0.5000 0.1218
0.0000 0.2502 0.5000
0.0000 0.7498 0.5000
0.5000 0.2502 0.5000
0.5000 0.7498 0.5000
0.2500 0.0000 0.7173
0.2500 0.5000 0.2810
0.7500 0.0000 0.2827
0.7500 0.5000 0.7190
0.0000 0.2497 0.0000
0.0000 0.7503 0.0000
0.5000 0.2497 0.0000
0.5000 0.7503 0.0000
```

## Properties
Space group: Pmma (51)
Total energy: -6.031 eV per atom
E above lowest polymorph: 180 meV per atom
Magnetization: 0.001 μB per formula unit
ρ: 10.08 g/cm3

ErAuSO after structural relaxation. Source: OQMD via LeMat-Bulk, functional PBE.

```
ErAuSO
1.0
3.8684 0.0000 0.0000
0.0000 3.8684 0.0000
0.0000 0.0000 9.0897
Er Au S O
2 2 2 2
Direct
0.0000 0.0000 0.0000
0.5000 0.5000 0.2439
0.0000 0.5000 0.6232
0.5000 0.0000 0.6232
0.0000 0.0000 0.4046
0.5000 0.5000 0.8409
0.0000 0.5000 0.1220
0.5000 0.0000 0.1220
```

## Properties
Space group: P4mm (99)
Total energy: -6.031 eV per atom
E above lowest polymorph: 180 meV per atom
Magnetization: 0.001 μB per formula unit
ρ: 10.07 g/cm3

- Among the records above, which one has the highest total energy?
  ErPAuO

- The highest E above lowest polymorph belongs to which entry?
  ErPAuO

- Look up the magnetization of the fourth one.
  0.001 μB per formula unit

Please write out number 2 again, unchanged.
ErAuSO after structural relaxation. Source: OQMD via LeMat-Bulk, functional PBE.

```
ErAuSO
1.0
3.8671 0.0000 0.0000
0.0000 3.8671 0.0000
0.0000 0.0000 9.1009
Er Au S O
2 2 2 2
Direct
0.2500 0.2500 0.1214
0.7500 0.7500 0.8786
0.2500 0.7500 0.5000
0.7500 0.2500 0.5000
0.2500 0.2500 0.7179
0.7500 0.7500 0.2821
0.2500 0.7500 0.0000
0.7500 0.2500 0.0000
```

## Properties
Space group: P4/nmm (129)
Total energy: -6.031 eV per atom
E above lowest polymorph: 180 meV per atom
Magnetization: 0.001 μB per formula unit
ρ: 10.06 g/cm3